First-principles (PBE-GGA) data for a relaxed structure of Ir3C, as listed in the Alexandria database.

Summary:
DFT formation energy in eV/atom: 1.181
E in eV/atom: -7.7708
Crystal system: tetragonal
ΔE to the lowest computed polymorph in kJ/mol of formula units: 265
SG: I4/mmm, No. 139

```
data_Ir3C
_symmetry_space_group_name_H-M 'P 1'
_symmetry_Int_Tables_number 1
_cell_length_a 8.0458
_cell_length_b 8.0458
_cell_length_c 8.0458
_cell_angle_alpha 151.89
_cell_angle_beta 151.89
_cell_angle_gamma 40.17
loop_
_symmetry_equiv_pos_as_xyz
'x,y,z'
loop_
_atom_site_label
_atom_site_fract_x
_atom_site_fract_y
_atom_site_fract_z
Ir1 0.0000 0.5000 0.5000
Ir2 0.1360 0.1360 0.0000
Ir3 0.2500 0.7500 0.5000
Ir4 0.5000 0.0000 0.5000
Ir5 0.7500 0.2500 0.5000
Ir6 0.8640 0.8640 0.0000
C1 0.4493 0.4493 0.0000
C2 0.5507 0.5507 0.0000
```